1.
{
  "formula": "PH3Ir",
  "functional": "PBE-GGA",
  "state": "relaxed",
  "cell": [[3.416, 0.000, 0.000], [0.000, 3.416, 0.000], [0.000, 0.000, 3.416]],
  "species": ["H", "H", "H", "Ir", "P"],
  "frac_coords": [[0.500, 0.000, 0.000], [0.000, 0.000, 0.500], [0.000, 0.500, 0.000], [0.500, 0.500, 0.500], [0.000, 0.000, 0.000]],
  "crystal_system": "cubic",
  "space_group": "Pm-3m, No. 221",
  "dos_ef_per_ev_cell": 2.497,
  "de_polymorph_ev_per_fu": 2.57,
  "vol_a3_per_cell": 39.9
}

***

2.
{
  "formula": "KCu3",
  "functional": "PBE-GGA",
  "state": "relaxed",
  "cell": [[-1.323, 4.247, -0.210], [-2.053, 2.996, -2.577], [-6.151, -1.089, 2.474]],
  "species": ["Cu", "Cu", "Cu", "K"],
  "frac_coords": [[0.771, 0.771, 0.644], [0.229, 0.229, 0.356], [0.500, 0.500, 0.500], [0.000, 0.000, 0.000]],
  "crystal_system": "monoclinic",
  "space_group": "C2/m, No. 12",
  "dos_ef_per_ev_cell": 0.885,
  "de_polymorph_ev_per_fu": 0.67,
  "formation_energy_mev_per_atom": 349.2,
  "vol_a3_per_cell": 78.5
}

***

3.
{
  "formula": "Li2CuP2O7",
  "functional": "PBE-GGA",
  "state": "relaxed",
  "cell": [[8.145, -0.001, 0.003], [6.604, 4.768, 0.003], [3.614, 1.168, 7.921]],
  "species": ["P", "P", "P", "P", "O", "O", "O", "O", "O", "O", "O", "O", "O", "O", "O", "O", "O", "O", "Cu", "Cu", "Li", "Li", "Li", "Li"],
  "frac_coords": [[0.745, 0.459, 0.183], [0.255, 0.541, 0.817], [0.541, 0.255, 0.317], [0.459, 0.745, 0.683], [0.743, 0.616, 0.607], [0.118, 0.674, 0.660], [0.517, 0.483, 0.750], [0.384, 0.257, 0.893], [0.257, 0.384, 0.393], [0.616, 0.743, 0.107], [0.483, 0.517, 0.250], [0.952, 0.247, 0.056], [0.753, 0.048, 0.444], [0.882, 0.326, 0.340], [0.048, 0.753, 0.944], [0.326, 0.882, 0.840], [0.674, 0.118, 0.160], [0.247, 0.952, 0.556], [0.000, 0.000, 0.500], [0.000, 0.000, 0.000], [0.664, 0.958, 0.052], [0.042, 0.336, 0.448], [0.336, 0.042, 0.948], [0.958, 0.664, 0.552]],
  "crystal_system": "monoclinic",
  "space_group": "C2/c, No. 15",
  "formation_energy_uncorrected_kj_per_mol_atoms": -196.7,
  "de_polymorph_ev_per_fu": 0.00,
  "vol_a3_per_cell": 307.7
}

***

4.
{
  "formula": "Mg3Ni",
  "functional": "PBE-GGA",
  "state": "relaxed",
  "cell": [[-2.806, -3.488, -1.345], [-0.051, -1.835, 4.866], [-4.646, 3.279, 1.188]],
  "species": ["Mg", "Mg", "Mg", "Mg", "Mg", "Mg", "Ni", "Ni"],
  "frac_coords": [[0.500, 0.835, 0.251], [0.000, 0.165, 0.249], [0.500, 0.835, 0.749], [0.000, 0.628, 0.500], [0.000, 0.165, 0.751], [0.500, 0.372, 0.000], [0.500, 0.322, 0.500], [0.000, 0.678, 0.000]],
  "crystal_system": "orthorhombic",
  "space_group": "Pmmn, No. 59",
  "dos_ef_per_ev_cell": 2.792,
  "formation_energy_mev_per_atom": -41.2,
  "vol_a3_per_cell": 141.2
}

***

What is the formula in the fourth record?
Mg3Ni

***

What did the third record say?
{
  "formula": "Li2CuP2O7",
  "functional": "PBE-GGA",
  "state": "relaxed",
  "cell": [[8.145, -0.001, 0.003], [6.604, 4.768, 0.003], [3.614, 1.168, 7.921]],
  "species": ["P", "P", "P", "P", "O", "O", "O", "O", "O", "O", "O", "O", "O", "O", "O", "O", "O", "O", "Cu", "Cu", "Li", "Li", "Li", "Li"],
  "frac_coords": [[0.745, 0.459, 0.183], [0.255, 0.541, 0.817], [0.541, 0.255, 0.317], [0.459, 0.745, 0.683], [0.743, 0.616, 0.607], [0.118, 0.674, 0.660], [0.517, 0.483, 0.750], [0.384, 0.257, 0.893], [0.257, 0.384, 0.393], [0.616, 0.743, 0.107], [0.483, 0.517, 0.250], [0.952, 0.247, 0.056], [0.753, 0.048, 0.444], [0.882, 0.326, 0.340], [0.048, 0.753, 0.944], [0.326, 0.882, 0.840], [0.674, 0.118, 0.160], [0.247, 0.952, 0.556], [0.000, 0.000, 0.500], [0.000, 0.000, 0.000], [0.664, 0.958, 0.052], [0.042, 0.336, 0.448], [0.336, 0.042, 0.948], [0.958, 0.664, 0.552]],
  "crystal_system": "monoclinic",
  "space_group": "C2/c, No. 15",
  "formation_energy_uncorrected_kj_per_mol_atoms": -196.7,
  "de_polymorph_ev_per_fu": 0.00,
  "vol_a3_per_cell": 307.7
}